Arrangement i

{"formula": "RuPtCl2", "functional": "PBE", "state": "optimized geometry", "lattice": [[4.165, 0.000, 0.000], [0.000, 3.084, 0.004], [0.000, -0.332, 5.138]], "species": ["Pt", "Ru", "Cl", "Cl"], "frac_coords": [[0.500, 0.250, 0.250], [0.500, 0.750, 0.750], [0.000, 0.528, 0.509], [0.000, 0.972, 0.991]]}

=====

Arrangement ii

{"formula": "RuPtCl2", "functional": "PBE", "state": "optimized geometry", "lattice": [[-3.743, -2.277, -0.505], [1.747, -3.376, 2.237], [-1.245, 1.372, 3.042]], "species": ["Cl", "Cl", "Ru", "Pt"], "frac_coords": [[0.500, 0.500, 0.000], [0.000, 0.000, 0.000], [0.000, 0.500, 0.500], [0.500, 0.000, 0.500]]}

=====

Which of them is least stable? Easy: arrangement ii.

=====

Arrangement i

{"formula": "RuPtCl2", "functional": "PBE", "state": "optimized geometry", "lattice": [[5.488, -0.012, -0.034], [-2.960, 4.413, 0.019], [-0.433, 1.029, 2.831]], "species": ["Pt", "Cl", "Cl", "Ru"], "frac_coords": [[0.000, 0.500, 0.500], [0.500, 0.000, 0.500], [0.000, 0.000, 0.000], [0.500, 0.500, 0.000]]}

=====

Arrangement ii

{"formula": "RuPtCl2", "functional": "PBE", "state": "optimized geometry", "lattice": [[6.395, 0.026, 0.002], [4.247, 4.781, -0.002], [-4.902, -3.331, 2.402]], "species": ["Cl", "Cl", "Ru", "Pt"], "frac_coords": [[0.757, 0.257, 0.500], [0.068, 0.068, 0.000], [0.243, 0.743, 0.500], [0.432, 0.432, 0.000]]}

=====

Arrangement iii

{"formula": "RuPtCl2", "functional": "PBE", "state": "optimized geometry", "lattice": [[-2.235, 1.777, -1.062], [-0.337, -1.886, 2.368], [2.465, 6.319, 5.384]], "species": ["Cl", "Cl", "Pt", "Ru"], "frac_coords": [[0.000, 0.000, 0.529], [0.000, 0.000, 0.971], [0.500, 0.500, 0.250], [0.500, 0.500, 0.750]]}

=====

Which of them is least stable? Easy: arrangement i.

=====

Arrangement i

{"formula": "RuPt3Cl", "functional": "PBE", "state": "optimized geometry", "lattice": [[-0.624, -2.918, 3.372], [4.423, 0.023, 0.839], [-0.561, 3.429, 2.863]], "species": ["Cl", "Pt", "Pt", "Pt", "Ru"], "frac_coords": [[0.000, 0.000, 0.000], [0.500, 0.000, 0.000], [0.000, 0.000, 0.500], [0.000, 0.500, 0.000], [0.500, 0.500, 0.500]]}

=====

Arrangement ii

{"formula": "RuPt3Cl", "functional": "PBE", "state": "optimized geometry", "lattice": [[4.822, 0.000, 0.000], [0.000, 4.822, 0.000], [0.000, 0.000, 4.822]], "species": ["Pt", "Pt", "Pt", "Ru", "Cl"], "frac_coords": [[0.000, 0.000, 0.500], [0.000, 0.500, 0.000], [0.500, 0.000, 0.000], [0.000, 0.000, 0.000], [0.500, 0.500, 0.500]]}

=====

Which of them is least stable? Easy: arrangement ii.

=====

Arrangement i

{"formula": "RuPtSCl2", "functional": "PBE", "state": "optimized geometry", "lattice": [[4.871, 0.000, 0.000], [0.000, 4.871, 0.000], [0.000, 0.000, 4.380]], "species": ["Ru", "Cl", "Cl", "S", "Pt"], "frac_coords": [[0.000, 0.000, 0.000], [0.500, 0.000, 0.000], [0.000, 0.500, 0.000], [0.000, 0.000, 0.500], [0.500, 0.500, 0.500]]}

=====

Arrangement ii

{"formula": "RuPtSCl2", "functional": "PBE", "state": "optimized geometry", "lattice": [[-3.288, -3.518, 0.797], [3.279, -2.466, 2.643], [-1.447, 2.232, 3.879]], "species": ["Pt", "Cl", "Cl", "S", "Ru"], "frac_coords": [[0.000, 0.000, 0.000], [0.500, 0.000, 0.000], [0.000, 0.500, 0.000], [0.000, 0.000, 0.500], [0.500, 0.500, 0.500]]}

=====

Which of them is least stable? Easy: arrangement ii.

=====

Arrangement i

{"formula": "PtS2Cl6", "functional": "PBE", "state": "optimized geometry", "lattice": [[-1.441, -1.059, 3.198], [7.038, -3.976, 1.569], [4.037, 5.997, 7.155]], "species": ["S", "S", "Pt", "Cl", "Cl", "Cl", "Cl", "Cl", "Cl"], "frac_coords": [[0.562, 0.617, 0.434], [0.438, 0.383, 0.566], [0.000, 0.000, 0.000], [0.806, 0.976, 0.243], [0.530, 0.197, 0.980], [0.470, 0.803, 0.020], [0.194, 0.024, 0.757], [0.425, 0.748, 0.587], [0.575, 0.252, 0.413]]}

=====

Arrangement ii

{"formula": "PtS2Cl6", "functional": "PBE", "state": "optimized geometry", "lattice": [[-3.102, 0.551, 3.787], [-5.137, 0.254, -4.578], [1.252, -8.290, 1.025]], "species": ["Cl", "Cl", "Cl", "Cl", "Cl", "Cl", "S", "S", "Pt"], "frac_coords": [[0.746, 0.669, 0.924], [0.427, 0.017, 0.283], [0.254, 0.331, 0.076], [0.779, 0.623, 0.335], [0.573, 0.983, 0.717], [0.221, 0.377, 0.665], [0.774, 0.724, 0.700], [0.226, 0.276, 0.300], [0.500, 0.500, 0.500]]}

=====

Which of them is least stable? Easy: arrangement i.

=====

Arrangement i

{"formula": "PtS2Cl", "functional": "PBE", "state": "optimized geometry", "lattice": [[2.746, -9.069, 6.970], [5.202, -7.759, 7.148], [3.122, -7.064, 8.872]], "species": ["S", "S", "Cl", "Pt"], "frac_coords": [[0.934, 0.934, 0.934], [0.066, 0.066, 0.066], [0.500, 0.500, 0.500], [0.000, 0.000, 0.000]]}

=====

Arrangement ii

{"formula": "PtS2Cl", "functional": "PBE", "state": "optimized geometry", "lattice": [[6.613, 0.000, 0.000], [0.000, 6.613, 0.000], [3.307, 3.307, 4.128]], "species": ["S", "S", "S", "S", "Pt", "Pt", "Cl", "Cl"], "frac_coords": [[0.375, 0.301, 0.750], [0.051, 0.625, 0.250], [0.699, 0.125, 0.250], [0.875, 0.949, 0.750], [0.000, 0.000, 0.000], [0.750, 0.250, 0.500], [0.500, 0.500, 0.000], [0.250, 0.750, 0.500]]}

=====

Which of them is least stable? Easy: arrangement i.

=====

Arrangement i

{"formula": "PtS2Cl", "functional": "PBE", "state": "optimized geometry", "lattice": [[3.558, 0.000, 0.000], [0.000, 5.219, -0.740], [0.000, -1.275, 10.018]], "species": ["Pt", "Pt", "S", "S", "S", "S", "Cl", "Cl"], "frac_coords": [[0.038, 0.380, 0.276], [0.538, 0.981, 0.464], [0.538, 0.335, 0.118], [0.038, 0.026, 0.622], [0.538, 0.464, 0.441], [0.038, 0.897, 0.299], [0.038, 0.404, 0.747], [0.538, 0.957, 0.993]]}

=====

Arrangement ii

{"formula": "PtS2Cl", "functional": "PBE", "state": "optimized geometry", "lattice": [[5.082, -2.320, 5.076], [6.803, 0.406, 3.244], [4.438, 1.217, 5.983]], "species": ["Pt", "S", "S", "Cl"], "frac_coords": [[0.500, 0.500, 0.500], [0.887, 0.887, 0.887], [0.113, 0.113, 0.113], [0.000, 0.000, 0.000]]}

=====

Arrangement iii

{"formula": "PtS2Cl", "functional": "PBE", "state": "optimized geometry", "lattice": [[0.000, 3.180, 3.180], [3.180, 0.000, 3.180], [3.180, 3.180, 0.000]], "species": ["Cl", "S", "S", "Pt"], "frac_coords": [[0.000, 0.000, 0.000], [0.750, 0.750, 0.750], [0.250, 0.250, 0.250], [0.500, 0.500, 0.500]]}

=====

Which of them is least stable? Easy: arrangement iii.

=====

Arrangement i

{"formula": "PtSCl2", "functional": "PBE", "state": "optimized geometry", "lattice": [[0.000, 3.298, 3.298], [3.298, 0.000, 3.298], [3.298, 3.298, 0.000]], "species": ["Cl", "Cl", "S", "Pt"], "frac_coords": [[0.250, 0.250, 0.250], [0.750, 0.750, 0.750], [0.000, 0.000, 0.000], [0.500, 0.500, 0.500]]}

=====

Arrangement ii

{"formula": "PtSCl2", "functional": "PBE", "state": "optimized geometry", "lattice": [[2.233, 0.000, 7.159], [-1.116, 1.934, 7.159], [-1.116, -1.934, 7.159]], "species": ["Pt", "Cl", "Cl", "S"], "frac_coords": [[0.500, 0.500, 0.500], [0.106, 0.106, 0.106], [0.894, 0.894, 0.894], [0.000, 0.000, 0.000]]}

=====

Which of them is least stable? Easy: arrangement i.

=====

Arrangement i

{"formula": "PtSCl2", "functional": "PBE", "state": "optimized geometry", "lattice": [[8.307, 7.613, 4.635], [8.092, 5.872, 6.964], [9.923, 5.192, 4.799]], "species": ["Cl", "Cl", "Pt", "S"], "frac_coords": [[0.062, 0.062, 0.062], [0.938, 0.938, 0.938], [0.000, 0.000, 0.000], [0.500, 0.500, 0.500]]}

=====

Arrangement ii

{"formula": "PtSCl2", "functional": "PBE", "state": "optimized geometry", "lattice": [[-2.514, -8.851, 4.118], [8.177, -4.232, -4.105], [4.009, -6.030, 1.825]], "species": ["Cl", "Cl", "Cl", "Cl", "S", "S", "Pt", "Pt"], "frac_coords": [[0.875, 0.125, 0.750], [0.875, 0.625, 0.250], [0.375, 0.125, 0.750], [0.875, 0.125, 0.250], [0.250, 0.750, 0.500], [0.500, 0.500, 0.000], [0.000, 0.000, 0.000], [0.750, 0.250, 0.500]]}

=====

Which of them is least stable? Easy: arrangement i.

=====

Arrangement i

{"formula": "PtSeSCl2", "functional": "PBE", "state": "optimized geometry", "lattice": [[4.766, 0.000, 0.000], [0.000, 4.766, 0.000], [0.000, 0.000, 5.117]], "species": ["Se", "Cl", "Cl", "S", "Pt"], "frac_coords": [[0.000, 0.000, 0.000], [0.500, 0.000, 0.000], [0.000, 0.500, 0.000], [0.000, 0.000, 0.500], [0.500, 0.500, 0.500]]}

=====

Arrangement ii

{"formula": "PtSeSCl2", "functional": "PBE", "state": "optimized geometry", "lattice": [[-2.126, -2.698, -3.444], [-0.159, -3.779, 3.058], [-4.242, 1.407, 1.517]], "species": ["Cl", "Cl", "Se", "S", "Pt"], "frac_coords": [[0.500, 0.000, 0.000], [0.000, 0.500, 0.000], [0.500, 0.500, 0.500], [0.000, 0.000, 0.500], [0.000, 0.000, 0.000]]}

=====

Which of them is least stable? Easy: arrangement i.

=====

Arrangement i

{"formula": "SiPtSCl2", "functional": "PBE", "state": "optimized geometry", "lattice": [[-0.861, 1.235, -4.196], [3.414, -2.483, -1.431], [-3.020, -3.856, -0.515]], "species": ["Cl", "Cl", "Si", "S", "Pt"], "frac_coords": [[0.000, 0.500, 0.000], [0.500, 0.000, 0.000], [0.000, 0.000, 0.000], [0.000, 0.000, 0.500], [0.500, 0.500, 0.500]]}

=====

Arrangement ii

{"formula": "SiPtSCl2", "functional": "PBE", "state": "optimized geometry", "lattice": [[-4.762, 0.473, -0.435], [-0.115, -3.831, -2.899], [-0.631, -2.858, 3.801]], "species": ["Si", "Pt", "Cl", "Cl", "S"], "frac_coords": [[0.500, 0.500, 0.500], [0.000, 0.000, 0.000], [0.500, 0.000, 0.000], [0.000, 0.500, 0.000], [0.000, 0.000, 0.500]]}

=====

Which of them is least stable? Easy: arrangement i.

=====

Arrangement i

{"formula": "SrPtSCl2", "functional": "PBE", "state": "optimized geometry", "lattice": [[5.447, 0.000, 0.000], [0.000, 5.447, 0.000], [0.000, 0.000, 5.941]], "species": ["Cl", "Cl", "Sr", "S", "Pt"], "frac_coords": [[0.500, 0.000, 0.000], [0.000, 0.500, 0.000], [0.000, 0.000, 0.000], [0.000, 0.000, 0.500], [0.500, 0.500, 0.500]]}

=====

Arrangement ii

{"formula": "SrPtSCl2", "functional": "PBE", "state": "optimized geometry", "lattice": [[4.891, 0.000, 0.000], [0.000, 4.891, 0.000], [0.000, 0.000, 4.932]], "species": ["Sr", "Cl", "Cl", "Pt", "S"], "frac_coords": [[0.500, 0.500, 0.500], [0.500, 0.000, 0.000], [0.000, 0.500, 0.000], [0.000, 0.000, 0.000], [0.000, 0.000, 0.500]]}

=====

Which of them is least stable? Easy: arrangement i.